a:
NaSr2NbHg after structural relaxation. Source: the Alexandria database, functional GGA-PBE.

a = 6.228 Å, b = 5.425 Å, c = 6.228 Å
α = 90.00°, β = 90.00°, γ = 90.00°
Each line ends with the local moment (μB).
Sites, in units of the cell vectors:
Nb 0.000 0.500 0.000  2.23
Hg 0.000 0.000 0.000  0.04
Sr 0.500 0.000 0.000  0.01
Sr 0.000 0.000 0.500  0.00
Na 0.500 0.500 0.500  -0.01

Results
The symmetry is P4/mmm (123). As for the calculated volume: 42.1 Å³/atom. The value obtained for the density is 3.88 g/cm³. The total magnetization is 3.12 μB per cell.



b:
NaSr2NbHg after structural relaxation. Source: the Alexandria database, functional GGA-PBE.

a = 6.165 Å, b = 5.407 Å, c = 6.165 Å
α = 90.00°, β = 90.00°, γ = 90.00°
Each line ends with the local moment (μB).
Sites, in units of the cell vectors:
Sr 0.500 0.000 0.000  0.03
Nb 0.500 0.500 0.500  2.93
Hg 0.000 0.000 0.000  -0.03
Sr 0.000 0.000 0.500  0.03
Na 0.000 0.500 0.000  -0.01

Results
The symmetry is P4/mmm (123). As for the calculated volume: 41.1 Å³/atom. The value obtained for the density is 3.97 g/cm³. The total magnetization is 4.43 μB per cell.



Ranked by calculated energy, most stable first: a, b.